# PBE-GGA ZrZn, optimized geometry
# - energy of formation from the pure elements (kJ/mol of atoms) = -7
# - energy (eV per atom) = -4.981
data_ZrZn
_chemical_formula_sum 'Zr4 Zn4'
_cell_length_a 3.110
_cell_length_b 4.722
_cell_length_c 10.344
_cell_angle_alpha 90.00
_cell_angle_beta 90.00
_cell_angle_gamma 90.00
_space_group_name_H-M_alt 'P m m n'
_space_group_IT_number 59
loop_
_space_group_symop_operation_xyz
'x,y,z'
'-x,-y,-z'
'-x+1/2,-y+1/2,z'
'x+1/2,y+1/2,-z'
'x+1/2,-y,-z'
'-x+1/2,y,z'
'-x,y+1/2,-z'
'x,-y+1/2,z'
loop_
_atom_site_label
_atom_site_fract_x
_atom_site_fract_y
_atom_site_fract_z
Zr1 0.250 0.250 0.052
Zr2 0.250 0.750 0.241
Zn1 0.250 0.250 0.523
Zn2 0.250 0.750 0.688